(1)
Computed, not measured: a geometry-optimized Tb6BiP2Se3 structure at the PBE-GGA level of DFT.

Calculated values
* ΔE_f (raw): -1.603 eV per atom
* space group: C2/m, No. 12
* uncorrected energy: -6.01 eV/atom

```
Tb6BiP2Se3
1.0
-2.835 2.854 0.900
-5.366 -6.021 2.188
5.717 0.399 7.298
Se Tb P Bi
3 6 2 1
direct
0.162 0.834 0.325
0.838 0.166 0.675
0.500 0.500 0.000
0.673 0.573 0.347
0.010 0.270 0.020
0.990 0.730 0.980
0.327 0.427 0.653
0.325 0.889 0.651
0.675 0.111 0.349
0.169 0.338 0.337
0.831 0.662 0.663
0.500 0.000 0.000
```

=====

(2)
Computed, not measured: a geometry-optimized SrAl12Au4 structure at the PBE-GGA level of DFT.

Calculated values
* space group: Im-3, No. 204
* uncorrected energy: -3.59 eV/atom
* E_form: -0.0764 eV per atom

```
SrAl12Au4
1.0
-7.407 -0.409 -2.371
3.272 -7.051 -0.479
0.231 2.472 7.381
Al Au Sr
12 4 1
direct
0.494 0.846 0.648
0.352 0.198 0.846
0.802 0.154 0.648
0.352 0.506 0.154
0.198 0.846 0.352
0.648 0.802 0.154
0.648 0.494 0.846
0.506 0.154 0.352
0.154 0.352 0.506
0.846 0.648 0.494
0.154 0.648 0.802
0.846 0.352 0.198
0.000 0.000 0.500
0.500 0.000 0.000
0.000 0.500 0.000
0.500 0.500 0.500
0.000 0.000 0.000
```

=====

(3)
Computed, not measured: a geometry-optimized Y2PuPbO8 structure at the PBE-GGA level of DFT.

Calculated values
* ΔE_f (raw): -2.511 eV per atom
* space group: Cmmm, No. 65
* uncorrected energy: -8.40 eV/atom

```
Y2PuPbO8
1.0
-2.754 -2.766 3.232
3.506 -3.632 -0.445
3.559 2.772 5.406
O Pu Pb Y
8 1 1 2
direct
0.291 0.291 0.000
0.301 0.301 0.500
0.814 0.185 0.773
0.186 0.815 0.773
0.814 0.185 0.227
0.709 0.709 0.000
0.186 0.815 0.227
0.699 0.699 0.500
0.000 0.000 0.000
0.000 0.000 0.500
0.500 0.500 0.251
0.500 0.500 0.749
```

=====

(4)
Computed, not measured: a geometry-optimized K12Cl5O3 structure at the PBE-GGA level of DFT.

Calculated values
* ΔE_f (raw): -1.430 eV per atom
* space group: P-62m, No. 189
* ΔE to the lowest computed polymorph: 0.0 meV/atom
* uncorrected energy: -3.29 eV/atom

```
K12Cl5O3
1.0
-1.505 3.076 -2.525
-4.301 -8.947 -8.336
-7.668 4.131 9.601
Cl K O
5 12 3
direct
0.000 0.333 0.667
0.000 0.000 0.305
0.000 0.695 0.695
0.000 0.305 0.000
0.000 0.667 0.333
0.500 0.771 0.563
0.000 0.000 0.547
0.500 0.229 0.792
0.000 0.547 0.000
0.500 0.563 0.771
0.500 0.792 0.229
0.000 0.000 0.810
0.500 0.437 0.208
0.000 0.453 0.453
0.000 0.810 0.000
0.000 0.190 0.190
0.500 0.208 0.437
0.500 0.000 0.667
0.500 0.333 0.333
0.500 0.667 0.000
```

=====

(5)
Computed, not measured: a geometry-optimized La6Ru2AuI3 structure at the PBE-GGA level of DFT.

Calculated values
* ΔE_f (raw): -0.892 eV per atom
* space group: C2/m, No. 12
* uncorrected energy: -5.56 eV/atom

```
La6Ru2AuI3
1.0
7.417 0.000 0.001
-3.707 6.424 0.001
-1.236 -2.141 8.279
La I Au Ru
6 3 1 2
direct
0.937 0.581 0.812
0.581 0.937 0.812
0.419 0.063 0.188
0.706 0.706 0.187
0.063 0.419 0.188
0.294 0.294 0.813
0.165 0.835 0.500
0.500 0.500 0.500
0.835 0.165 0.500
0.000 0.000 0.000
0.667 0.333 0.000
0.333 0.667 0.000
```

=====

(6)
Computed, not measured: a geometry-optimized BeCdAs structure at the PBE-GGA level of DFT.

Calculated values
* space group: F-43m, No. 216
* ΔE to the lowest computed polymorph: 269.0 meV/atom
* uncorrected energy: -2.87 eV/atom
* E_form: 0.2301 eV per atom

```
BeCdAs
1.0
-0.684 -1.287 -3.989
-0.773 -4.097 -0.806
-3.883 -1.233 -1.196
Be As Cd
1 1 1
direct
0.750 0.750 0.750
0.500 0.500 0.500
0.000 0.000 0.000
```

=====

(7)
Computed, not measured: a geometry-optimized Pm2AlS5 structure at the PBE-GGA level of DFT.

Calculated values
* ΔE_f (raw): -1.385 eV per atom
* space group: Cmcm, No. 63
* uncorrected energy: -5.62 eV/atom

```
Pm2AlS5
1.0
-4.640 1.719 -2.082
-0.738 -6.505 3.192
-2.642 5.359 10.311
Pm S Al
4 10 2
direct
0.848 0.696 0.431
0.152 0.304 0.931
0.848 0.696 0.069
0.152 0.304 0.569
0.716 0.431 0.250
0.957 0.914 0.634
0.300 0.600 0.098
0.700 0.400 0.598
0.284 0.569 0.750
0.700 0.400 0.902
0.043 0.086 0.134
0.300 0.600 0.402
0.957 0.914 0.866
0.043 0.086 0.366
0.811 0.622 0.750
0.189 0.378 0.250
```

=====

(8)
Computed, not measured: a geometry-optimized HSe2F2 structure at the PBE-GGA level of DFT.

Calculated values
* space group: P1, No. 1
* uncorrected energy: -3.43 eV/atom

```
HSe2F2
1.0
3.938 0.602 -0.712
-1.264 5.469 1.199
-0.925 1.722 5.005
Se H F
2 1 2
direct
0.613 0.190 0.496
0.112 0.930 0.395
0.131 0.047 0.076
0.759 0.572 0.329
0.385 0.261 0.704
```

=====

(9)
Computed, not measured: a geometry-optimized Li2SiNi4 structure at the PBE-GGA level of DFT.

Calculated values
* ΔE_f (raw): -0.067 eV per atom
* space group: I4/mmm, No. 139
* uncorrected energy: -4.69 eV/atom

```
Li2SiNi4
1.0
4.431 -0.052 -1.591
-2.224 3.860 -1.526
-0.030 0.052 4.708
Si Li Ni
1 2 4
direct
0.000 0.000 0.000
0.500 0.000 0.500
0.500 0.500 0.000
0.000 0.500 0.000
0.000 0.000 0.500
0.500 0.000 0.000
0.500 0.500 0.500
```

=====

(10)
Computed, not measured: a geometry-optimized Tb4CoCu structure at the PBE-GGA level of DFT.

Calculated values
* space group: I4_1md, No. 109
* uncorrected energy: -4.96 eV/atom
* E_form: -0.0036 eV per atom

```
Tb4CoCu
1.0
7.656 -0.201 0.000
-3.275 6.923 0.000
-2.190 -3.361 6.524
Tb Cu Co
8 2 2
direct
0.264 0.961 0.697
0.781 0.985 0.796
0.318 0.514 0.803
0.264 0.568 0.303
0.711 0.514 0.197
0.189 0.985 0.204
0.735 0.031 0.296
0.735 0.439 0.704
0.250 0.250 0.000
0.000 0.500 0.500
0.501 0.001 0.500
0.751 0.751 0.000
```

=====

(11)
Computed, not measured: a geometry-optimized Pm3Y3Tm2 structure at the PBE-GGA level of DFT.

Calculated values
* space group: C2/m, No. 12
* ΔE to the lowest computed polymorph: 56.3 meV/atom
* uncorrected energy: -5.24 eV/atom
* E_form: 0.0799 eV per atom

```
Pm3Y3Tm2
1.0
5.591 0.000 -1.052
-0.377 5.628 -2.005
-1.251 -0.403 8.736
Tm Y Pm
2 3 3
direct
0.251 0.318 0.501
0.749 0.682 0.499
0.134 0.684 0.268
0.866 0.316 0.732
0.000 0.000 0.000
0.500 0.500 0.000
0.364 0.926 0.729
0.636 0.074 0.271
```

=====

(12)
Computed, not measured: a geometry-optimized ZrCuAs2 structure at the PBE-GGA level of DFT.

Calculated values
* space group: P4mm, No. 99
* uncorrected energy: -5.95 eV/atom
* E_form: -0.4644 eV per atom

```
ZrCuAs2
1.0
-3.645 0.419 0.397
0.362 -0.318 3.659
0.660 5.358 0.401
As Zr Cu
2 1 1
direct
0.000 0.000 0.939
0.500 0.500 0.317
0.500 0.500 0.793
0.000 0.000 0.451
```